Material: CaCeZnCd
Method: DFT, PBE
State: optimized geometry

Output
The calculation puts the energy of formation from the pure elements at -84 kJ/mol of formula units. As for the relative energy among the computed polymorphs: 6 meV/atom. The calculation puts the density of states at the Fermi level at 7.16 states/eV/cell. As for the crystal system: cubic.

Unit cell a=5.3009 b=5.3009 c=5.3009 alpha=60.00 beta=60.00 gamma=60.00
With the nearest neighbours (Å) after each atom.
Element x y z (fractional)
Zn1 0.7500 0.7500 0.7500  4 Ce 3.25, 4 Ca 3.25
Ca1 0.0000 0.0000 0.0000  4 Cd 3.25, 4 Zn 3.25
Ce1 0.5000 0.5000 0.5000  4 Cd 3.25, 4 Zn 3.25
Cd1 0.2500 0.2500 0.2500  4 Ce 3.25, 4 Ca 3.25